## La2Ag2Te (PBE-GGA)

Data for an optimized crystal structure of La2Ag2Te.

## Properties
Density of states at the Fermi level: 4.8 states/eV/f.u.
Space-group type: I4/mmm (139)
Excess energy over the best structure of this formula in the dataset: 0 meV/atom

```
La2Ag2Te
1.0
-1.973 1.973 9.040
1.973 -1.973 9.040
1.973 1.973 -9.040
La Ag Te
2 2 1
direct
0.107 0.107 0.000
0.893 0.893 0.000
0.250 0.750 0.500
0.750 0.250 0.500
0.500 0.500 0.000
```


## LaAg2Te2 (PBE-GGA)

Data for an optimized crystal structure of LaAg2Te2.

## Properties
Density of states at the Fermi level: 2.4 states/eV/f.u.
Space-group type: I4/mmm (139)
Excess energy over the best structure of this formula in the dataset: 0 meV/atom

```
LaAg2Te2
1.0
-2.075 2.075 7.667
2.075 -2.075 7.667
2.075 2.075 -7.667
La Ag Te
1 2 2
direct
0.000 0.000 0.000
0.250 0.750 0.500
0.750 0.250 0.500
0.389 0.389 0.000
0.611 0.611 0.000
```


## LaAg2Te2 (PBE-GGA)

Data for an optimized crystal structure of LaAg2Te2.

## Properties
Density of states at the Fermi level: 3.8 states/eV/f.u.
Space-group type: I4/mmm (139)
Excess energy over the best structure of this formula in the dataset: 164 meV/atom

```
LaAg2Te2
1.0
-2.726 2.726 4.649
2.726 -2.726 4.649
2.726 2.726 -4.649
La Ag Te
1 2 2
direct
0.000 0.000 0.000
0.356 0.356 0.000
0.644 0.644 0.000
0.250 0.750 0.500
0.750 0.250 0.500
```


## LaAg2Te (PBE-GGA)

Data for an optimized crystal structure of LaAg2Te.

## Properties
Density of states at the Fermi level: 2.7 states/eV/f.u.
Space-group type: P2/m (10)

```
LaAg2Te
1.0
3.961 0.000 0.000
0.000 5.069 0.000
-0.007 0.000 5.442
La Ag Te
1 2 1
direct
0.000 0.000 0.000
0.499 0.500 0.758
0.501 0.500 0.242
0.500 0.000 0.500
```


## LaAgTe (PBE-GGA)

Data for an optimized crystal structure of LaAgTe.

## Properties
Density of states at the Fermi level: 0.9 states/eV/f.u.
Space-group type: I4mm (107)
Excess energy over the best structure of this formula in the dataset: 69 meV/atom

```
LaAgTe
1.0
-2.070 2.070 4.941
2.070 -2.070 4.941
2.070 2.070 -4.941
La Ag Te
1 1 1
direct
0.000 0.000 0.000
0.669 0.669 0.000
0.338 0.338 0.000
```


## LaAgTe (PBE-GGA)

Data for an optimized crystal structure of LaAgTe.

## Properties
Density of states at the Fermi level: 1.8 states/eV/f.u.
Space-group type: R-3m (166)
Excess energy over the best structure of this formula in the dataset: 0 meV/atom

```
LaAgTe
1.0
2.523 1.457 8.759
-2.523 1.457 8.759
0.000 -2.913 8.759
La Ag Te
2 2 2
direct
0.079 0.079 0.079
0.921 0.921 0.921
0.331 0.331 0.331
0.669 0.669 0.669
0.211 0.211 0.211
0.789 0.789 0.789
```


## La2Ag4Te5 (PBE-GGA)

Data for an optimized crystal structure of La2Ag4Te5.

## Properties
Density of states at the Fermi level: 5.5 states/eV/f.u.
Space-group type: R-3m (166)

```
La2Ag4Te5
1.0
2.296 1.325 19.017
-2.296 1.325 19.017
0.000 -2.651 19.017
La Ag Te
2 4 5
direct
0.133 0.133 0.133
0.867 0.867 0.867
0.314 0.314 0.314
0.415 0.415 0.415
0.585 0.585 0.585
0.686 0.686 0.686
0.233 0.233 0.233
0.367 0.367 0.367
0.500 0.500 0.500
0.633 0.633 0.633
0.767 0.767 0.767
```


## LaAg2Te (PBE-GGA)

Data for an optimized crystal structure of LaAg2Te.

## Properties
Density of states at the Fermi level: 2.5 states/eV/f.u.
Space-group type: R3m (160)

```
LaAg2Te
1.0
2.370 1.368 5.565
-2.370 1.368 5.565
0.000 -2.736 5.565
La Ag Te
1 2 1
direct
0.000 0.000 0.000
0.241 0.241 0.241
0.531 0.531 0.531
0.779 0.779 0.779
```


## LaAgTe (PBE-GGA)

Data for an optimized crystal structure of LaAgTe.

## Properties
Density of states at the Fermi level: 0.6 states/eV/f.u.
Space-group type: P3m1 (156)
Excess energy over the best structure of this formula in the dataset: 42 meV/atom

```
LaAgTe
1.0
4.743 0.000 0.000
-2.371 4.107 0.000
0.000 0.000 4.415
La Ag Te
1 1 1
direct
0.000 0.000 0.000
0.667 0.333 0.687
0.333 0.667 0.452
```


## La3Ag5Te12 (PBE-GGA)

Data for an optimized crystal structure of La3Ag5Te12.

## Properties
Density of states at the Fermi level: 18.0 states/eV/f.u.
Space-group type: Ia-3d (230)

```
La3Ag5Te12
1.0
-8.762 8.762 8.762
8.762 -8.762 8.762
8.762 8.762 -8.762
La Ag Te
12 20 48
direct
0.125 0.250 0.375
0.125 0.375 0.750
0.250 0.375 0.125
0.250 0.875 0.625
0.375 0.125 0.250
0.375 0.750 0.125
0.625 0.250 0.875
0.625 0.875 0.750
0.750 0.125 0.375
0.750 0.625 0.875
0.875 0.625 0.250
0.875 0.750 0.625
0.000 0.000 0.000
0.000 0.000 0.500
0.000 0.500 0.000
0.000 0.500 0.500
0.125 0.750 0.875
0.125 0.875 0.250
0.250 0.125 0.875
0.250 0.625 0.375
0.375 0.250 0.625
0.375 0.625 0.750
0.500 0.000 0.000
0.500 0.000 0.500
0.500 0.500 0.000
0.500 0.500 0.500
0.625 0.375 0.250
0.625 0.750 0.375
0.750 0.375 0.625
0.750 0.875 0.125
0.875 0.125 0.750
0.875 0.250 0.125
0.041 0.211 0.127
0.041 0.330 0.914
0.084 0.711 0.670
0.084 0.873 0.414
0.086 0.627 0.416
0.086 0.959 0.670
0.127 0.041 0.211
0.127 0.586 0.916
0.170 0.211 0.584
0.170 0.459 0.586
0.211 0.127 0.041
0.211 0.584 0.170
0.289 0.330 0.916
0.289 0.459 0.373
0.330 0.914 0.041
0.330 0.916 0.289
0.373 0.289 0.459
0.373 0.584 0.914
0.414 0.084 0.873
0.414 0.830 0.541
0.416 0.086 0.627
0.416 0.830 0.789
0.459 0.373 0.289
0.459 0.586 0.170
0.541 0.414 0.830
0.541 0.627 0.711
0.584 0.170 0.211
0.584 0.914 0.373
0.586 0.170 0.459
0.586 0.916 0.127
0.627 0.416 0.086
0.627 0.711 0.541
0.670 0.084 0.711
0.670 0.086 0.959
0.711 0.541 0.627
0.711 0.670 0.084
0.789 0.416 0.830
0.789 0.873 0.959
0.830 0.541 0.414
0.830 0.789 0.416
0.873 0.414 0.084
0.873 0.959 0.789
0.914 0.041 0.330
0.914 0.373 0.584
0.916 0.127 0.586
0.916 0.289 0.330
0.959 0.670 0.086
0.959 0.789 0.873
```


## La2AgTe2 (PBE-GGA)

Data for an optimized crystal structure of La2AgTe2.

## Properties
Density of states at the Fermi level: 3.1 states/eV/f.u.
Space-group type: P4/mbm (127)
Excess energy over the best structure of this formula in the dataset: 0 meV/atom

```
La2AgTe2
1.0
8.648 0.000 0.000
0.000 8.648 0.000
0.000 0.000 4.230
La Ag Te
4 2 4
direct
0.154 0.346 0.000
0.346 0.846 0.000
0.654 0.154 0.000
0.846 0.654 0.000
0.000 0.000 0.000
0.500 0.500 0.000
0.148 0.648 0.500
0.352 0.148 0.500
0.648 0.852 0.500
0.852 0.352 0.500
```


no.,formation energy (no corrections) (meV/atom),M_tot (μB/cell),calculated density (g/cm³)
1,-574,0.76,7.32
2,-646,0.00,7.67
3,-482,0.00,7.33
4,-470,0.00,7.33
5,-748,0.00,7.34
6,-817,0.03,6.44
7,-640,0.00,6.44
8,-495,0.00,7.40
9,-776,0.00,7.23
10,-458,0.00,6.14
11,-1081,0.00,6.73